Model i:
## SnHgTe (GGA-PBE)

Data for an optimized crystal structure of SnHgTe.

For the size of the total moment, the calculation gives 0.00 μB/atom.

The space group is I4mm (No. 107) and the conventional cell measures 3.916, 3.916 and 12.609 Å, with angles of 90.00, 90.00 and 90.00 degrees. The distinct sites, in fractional coordinates, are Sn at (0.000, 0.000, 0.000), Hg at (0.000, 0.000, 0.696) and Te at (0.000, 0.000, 0.389).

Model ii:
## SnHgTe (GGA-PBE)

Data for an optimized crystal structure of SnHgTe.

For the size of the total moment, the calculation gives 0.00 μB/atom.

The space group is C2/m (No. 12) and the conventional cell measures 6.441, 6.446 and 9.073 Å, with angles of 90.00, 91.21 and 90.00 degrees. The distinct sites, in fractional coordinates, are Sn at (0.237, 0.000, 0.330), Hg at (0.000, 0.250, 0.000) and Te at (0.243, 0.500, 0.343).

Model iii:
## SnHgTe (GGA-PBE)

Data for an optimized crystal structure of SnHgTe.

For the size of the total moment, the calculation gives 0.00 μB/atom.

The space group is P3m1 (No. 156) and the conventional cell measures 4.5194, 4.5194 and 5.5623 Å, with angles of 90.00, 90.00 and 120.00 degrees. The distinct sites, in fractional coordinates, are Sn at (0.0000, 0.0000, 0.0000), Hg at (0.6667, 0.3333, 0.6735) and Te at (0.3333, 0.6667, 0.2802).

Most stable one: model ii, least stable one: model i.

Model i:
## Th3SnHg2 (GGA-PBE)

Data for an optimized crystal structure of Th3SnHg2.

For the size of the total moment, the calculation gives 0.00 μB/atom.

The space group is Cmmm (No. 65) and the conventional cell measures 4.977, 14.886 and 4.527 Å, with angles of 90.00, 90.00 and 90.00 degrees. The distinct sites, in fractional coordinates, are Th at (0.000, 0.000, 0.000), Th at (0.000, 0.334, 0.000), Sn at (0.000, 0.500, 0.500) and Hg at (0.000, 0.168, 0.500).

Model ii:
## Th3SnHg2 (GGA-PBE)

Data for an optimized crystal structure of Th3SnHg2.

For the size of the total moment, the calculation gives 0.00 μB/atom.

The space group is P-3m1 (No. 164) and the conventional cell measures 5.4483, 5.4483 and 6.6611 Å, with angles of 90.00, 90.00 and 120.00 degrees. The distinct sites, in fractional coordinates, are Th at (0.0000, 0.0000, 0.0000), Th at (0.3333, 0.6667, 0.6461), Sn at (0.0000, 0.0000, 0.5000) and Hg at (0.3333, 0.6667, 0.1376).

Most stable one: model i, least stable one: model ii.

Model i:
## Ti2Sn2Hg (GGA-PBE)

Data for an optimized crystal structure of Ti2Sn2Hg.

For the size of the total moment, the calculation gives 0.13 μB/atom.

The space group is P4/mbm (No. 127) and the conventional cell measures 7.322, 7.322 and 3.951 Å, with angles of 90.00, 90.00 and 90.00 degrees. The distinct sites, in fractional coordinates, are Ti at (0.132, 0.368, 0.000), Sn at (0.167, 0.667, 0.500) and Hg at (0.000, 0.000, 0.000).

Model ii:
## Ti2Sn2Hg (GGA-PBE)

Data for an optimized crystal structure of Ti2Sn2Hg.

For the size of the total moment, the calculation gives 0.10 μB/atom.

The space group is P4/mbm (No. 127) and the conventional cell measures 8.352, 8.352 and 3.088 Å, with angles of 90.00, 90.00 and 90.00 degrees. The distinct sites, in fractional coordinates, are Ti at (0.122, 0.378, 0.000), Sn at (0.172, 0.672, 0.500) and Hg at (0.000, 0.000, 0.500).

Most stable one: model i, least stable one: model ii.

Model i:
## Tl6SnHg2 (GGA-PBE)

Data for an optimized crystal structure of Tl6SnHg2.

For the size of the total moment, the calculation gives 0.00 μB/atom.

The space group is C2/m (No. 12) and the conventional cell measures 12.759, 3.792 and 11.472 Å, with angles of 90.00, 107.69 and 90.00 degrees. The distinct sites, in fractional coordinates, are Tl at (0.019, 0.000, 0.342), Tl at (0.165, 0.500, 0.885), Tl at (0.182, 0.500, 0.582), Sn at (0.000, 0.000, 0.000) and Hg at (0.154, 0.500, 0.202).

Model ii:
## Tl6SnHg2 (GGA-PBE)

Data for an optimized crystal structure of Tl6SnHg2.

For the size of the total moment, the calculation gives 0.00 μB/atom.

The space group is P-6m2 (No. 187) and the conventional cell measures 3.4894, 3.4894 and 25.4174 Å, with angles of 90.00, 90.00 and 120.00 degrees. The distinct sites, in fractional coordinates, are Tl at (0.0000, 0.0000, 0.0631), Tl at (0.0000, 0.0000, 0.2741), Tl at (0.3333, 0.6667, 0.3907), Sn at (0.0000, 0.0000, 0.5000) and Hg at (0.3333, 0.6667, 0.1690).

Most stable one: model ii, least stable one: model i.

Model i:
## Tl6SnHg12 (GGA-PBE)

Data for an optimized crystal structure of Tl6SnHg12.

For the size of the total moment, the calculation gives 0.00 μB/atom.

The space group is R-3 (No. 148, hexagonal axes) and the conventional cell measures 12.5383, 12.5383 and 12.4793 Å, with angles of 90.00, 90.00 and 120.00 degrees. The distinct sites, in fractional coordinates, are Tl at (0.0038, 0.5769, 0.2545), Sn at (0.0000, 0.0000, 0.5000), Hg at (0.0490, 0.8389, 0.3500) and Hg at (0.0587, 0.1717, 0.8669).

Model ii:
## Tl6SnHg12 (GGA-PBE)

Data for an optimized crystal structure of Tl6SnHg12.

For the size of the total moment, the calculation gives 0.00 μB/atom.

The space group is R-3 (No. 148, hexagonal axes) and the conventional cell measures 14.2737, 14.2737 and 9.6604 Å, with angles of 90.00, 90.00 and 120.00 degrees. The distinct sites, in fractional coordinates, are Tl at (0.0265, 0.2088, 0.2620), Sn at (0.0000, 0.0000, 0.5000), Hg at (0.0285, 0.2130, 0.9236) and Hg at (0.0309, 0.2340, 0.5969).

Most stable one: model i, least stable one: model ii.

Model i:
## Tl6SnHg8 (GGA-PBE)

Data for an optimized crystal structure of Tl6SnHg8.

For the size of the total moment, the calculation gives 0.00 μB/atom.

The space group is R-3 (No. 148, hexagonal axes) and the conventional cell measures 8.5900, 8.5900 and 21.7512 Å, with angles of 90.00, 90.00 and 120.00 degrees. The distinct sites, in fractional coordinates, are Tl at (0.0295, 0.2878, 0.1123), Sn at (0.0000, 0.0000, 0.5000), Hg at (0.0000, 0.0000, 0.2133) and Hg at (0.0067, 0.3081, 0.2959).

Model ii:
## Tl6SnHg8 (GGA-PBE)

Data for an optimized crystal structure of Tl6SnHg8.

For the size of the total moment, the calculation gives 0.00 μB/atom.

The space group is P-3 (No. 147) and the conventional cell measures 9.1139, 9.1139 and 6.0595 Å, with angles of 90.00, 90.00 and 120.00 degrees. The distinct sites, in fractional coordinates, are Tl at (0.1020, 0.4515, 0.2023), Sn at (0.0000, 0.0000, 0.0000), Hg at (0.0661, 0.2856, 0.6851) and Hg at (0.3333, 0.6667, 0.6759).

Most stable one: model ii, least stable one: model i.

Model i:
## Tl8Sn3Hg2 (GGA-PBE)

Data for an optimized crystal structure of Tl8Sn3Hg2.

For the size of the total moment, the calculation gives 0.00 μB/atom.

The space group is C2/m (No. 12) and the conventional cell measures 16.178, 8.568 and 6.371 Å, with angles of 90.00, 110.46 and 90.00 degrees. The distinct sites, in fractional coordinates, are Tl at (0.092, 0.000, 0.412), Tl at (0.123, 0.195, 0.980), Tl at (0.190, 0.500, 0.641), Sn at (0.000, 0.323, 0.500), Sn at (0.000, 0.500, 0.000) and Hg at (0.228, 0.500, 0.193).

Model ii:
## Tl8Sn3Hg2 (GGA-PBE)

Data for an optimized crystal structure of Tl8Sn3Hg2.

For the size of the total moment, the calculation gives 0.00 μB/atom.

The space group is C2/m (No. 12) and the conventional cell measures 18.278, 8.324 and 5.350 Å, with angles of 90.00, 93.28 and 90.00 degrees. The distinct sites, in fractional coordinates, are Tl at (0.059, 0.000, 0.287), Tl at (0.154, 0.216, 0.749), Tl at (0.159, 0.500, 0.247), Sn at (0.000, 0.309, 0.000), Sn at (0.000, 0.500, 0.500) and Hg at (0.228, 0.000, 0.233).

Most stable one: model ii, least stable one: model i.

Model i:
## Tl8Sn2Hg (GGA-PBE)

Data for an optimized crystal structure of Tl8Sn2Hg.

For the size of the total moment, the calculation gives 0.00 μB/atom.

The space group is C2/m (No. 12) and the conventional cell measures 15.075, 6.641 and 7.355 Å, with angles of 90.00, 109.86 and 90.00 degrees. The distinct sites, in fractional coordinates, are Tl at (0.079, 0.242, 0.394), Tl at (0.122, 0.000, 0.001), Tl at (0.239, 0.500, 0.264), Sn at (0.141, 0.500, 0.791) and Hg at (0.000, 0.500, 0.000).

Model ii:
## Tl8Sn2Hg (GGA-PBE)

Data for an optimized crystal structure of Tl8Sn2Hg.

For the size of the total moment, the calculation gives 0.00 μB/atom.

The space group is C2/m (No. 12) and the conventional cell measures 17.525, 5.250 and 7.369 Å, with angles of 90.00, 104.07 and 90.00 degrees. The distinct sites, in fractional coordinates, are Tl at (0.054, 0.000, 0.224), Tl at (0.091, 0.500, 0.948), Tl at (0.132, 0.000, 0.685), Tl at (0.184, 0.500, 0.417), Sn at (0.231, 0.000, 0.122) and Hg at (0.000, 0.500, 0.500).

Most stable one: model ii, least stable one: model i.

Model i:
## Tl2Sn2Hg (GGA-PBE)

Data for an optimized crystal structure of Tl2Sn2Hg.

For the size of the total moment, the calculation gives 0.00 μB/atom.

The space group is I4/mmm (No. 139) and the conventional cell measures 4.249, 4.249 and 17.934 Å, with angles of 90.00, 90.00 and 90.00 degrees. The distinct sites, in fractional coordinates, are Tl at (0.000, 0.000, 0.099), Sn at (0.000, 0.500, 0.250) and Hg at (0.000, 0.000, 0.500).

Model ii:
## Tl2Sn2Hg (GGA-PBE)

Data for an optimized crystal structure of Tl2Sn2Hg.

For the size of the total moment, the calculation gives 0.00 μB/atom.

The space group is I4/mmm (No. 139) and the conventional cell measures 5.318, 5.318 and 11.800 Å, with angles of 90.00, 90.00 and 90.00 degrees. The distinct sites, in fractional coordinates, are Tl at (0.000, 0.500, 0.250), Sn at (0.000, 0.000, 0.120) and Hg at (0.000, 0.000, 0.500).

Most stable one: model i, least stable one: model ii.

Model i:
## Tl2Sn2Hg (GGA-PBE)

Data for an optimized crystal structure of Tl2Sn2Hg.

For the size of the total moment, the calculation gives 0.00 μB/atom.

The space group is P4/mbm (No. 127) and the conventional cell measures 7.707, 7.707 and 5.119 Å, with angles of 90.00, 90.00 and 90.00 degrees. The distinct sites, in fractional coordinates, are Tl at (0.166, 0.334, 0.000), Sn at (0.139, 0.639, 0.500) and Hg at (0.000, 0.000, 0.500).

Model ii:
## Tl2Sn2Hg (GGA-PBE)

Data for an optimized crystal structure of Tl2Sn2Hg.

For the size of the total moment, the calculation gives 0.00 μB/atom.

The space group is I4/mmm (No. 139) and the conventional cell measures 3.489, 3.489 and 23.893 Å, with angles of 90.00, 90.00 and 90.00 degrees. The distinct sites, in fractional coordinates, are Tl at (0.000, 0.000, 0.100), Sn at (0.000, 0.000, 0.295) and Hg at (0.000, 0.000, 0.500).

Most stable one: model ii, least stable one: model i.

Model i:
## TlSnHg5 (GGA-PBE)

Data for an optimized crystal structure of TlSnHg5.

For the size of the total moment, the calculation gives 0.00 μB/atom.

The space group is P4/mmm (No. 123) and the conventional cell measures 4.546, 4.546 and 9.737 Å, with angles of 90.00, 90.00 and 90.00 degrees. The distinct sites, in fractional coordinates, are Tl at (0.000, 0.000, 0.000), Sn at (0.500, 0.500, 0.500), Hg at (0.000, 0.000, 0.500) and Hg at (0.000, 0.500, 0.243).

Model ii:
## TlSnHg5 (GGA-PBE)

Data for an optimized crystal structure of TlSnHg5.

For the size of the total moment, the calculation gives 0.00 μB/atom.

The space group is P4/mmm (No. 123) and the conventional cell measures 5.056, 5.056 and 7.919 Å, with angles of 90.00, 90.00 and 90.00 degrees. The distinct sites, in fractional coordinates, are Tl at (0.000, 0.000, 0.000), Sn at (0.000, 0.000, 0.500), Hg at (0.000, 0.500, 0.277) and Hg at (0.500, 0.500, 0.000).

Most stable one: model ii, least stable one: model i.